Below is a relaxed structure of HfPbN3, with properties calculated at the PBEsol level.

abc: 4.221 4.221 4.221
angles: 90.00 90.00 90.00
Element x y z (fractional)
Hf (0.000, 0.000, 0.000)
Pb (0.500, 0.500, 0.500)
N (0.000, 0.000, 0.500)
N (0.000, 0.500, 0.000)
N (0.500, 0.000, 0.000)

* energy: -39.0 eV for the cell shown
* size of the total moment: 2.97 Bohr magnetons per cell
* E_form (uncorrected): 0.219 eV per atom



Below is a relaxed structure of HfPbS2N, with properties calculated at the PBEsol level.

abc: 5.000 5.000 4.073
angles: 90.00 90.00 90.00
Element x y z (fractional)
Hf (0.000, 0.000, 0.000)
Pb (0.500, 0.500, 0.500)
S (0.000, 0.500, 0.000)
S (0.500, 0.000, 0.000)
N (0.000, 0.000, 0.500)

* energy: -34.7 eV for the cell shown
* size of the total moment: 1.00 Bohr magnetons per cell
* E_form (uncorrected): -0.580 eV per atom



Below is a relaxed structure of HfPd2SeN, with properties calculated at the PBEsol level.

abc: 3.927 3.927 5.075
angles: 90.00 90.00 90.00
Element x y z (fractional)
Hf (0.000, 0.000, 0.000)
Pd (0.000, 0.500, 0.500)
Pd (0.500, 0.000, 0.500)
Se (0.500, 0.500, 0.000)
N (0.500, 0.500, 0.500)

* energy: -34.5 eV for the cell shown
* size of the total moment: 0.00 Bohr magnetons per cell
* E_form (uncorrected): 0.057 eV per atom



Below is a relaxed structure of HfPtN3, with properties calculated at the PBEsol level.

abc: 3.841 3.841 3.841
angles: 90.00 90.00 90.00
Element x y z (fractional)
Hf (0.000, 0.000, 0.000)
Pt (0.500, 0.500, 0.500)
N (0.000, 0.500, 0.500)
N (0.500, 0.000, 0.500)
N (0.500, 0.500, 0.000)

* energy: -39.4 eV for the cell shown
* size of the total moment: 0.00 Bohr magnetons per cell
* E_form (uncorrected): 0.738 eV per atom



Below is a relaxed structure of HfTe2PtN, with properties calculated at the PBEsol level.

abc: 5.431 5.431 3.651
angles: 90.00 90.00 90.00
Element x y z (fractional)
Hf (0.000, 0.000, 0.000)
Te (0.000, 0.500, 0.500)
Te (0.500, 0.000, 0.500)
Pt (0.500, 0.500, 0.500)
N (0.500, 0.500, 0.000)

* energy: -31.2 eV for the cell shown
* size of the total moment: 0.00 Bohr magnetons per cell
* E_form (uncorrected): 0.367 eV per atom



Below is a relaxed structure of HfTe2PtN, with properties calculated at the PBEsol level.

abc: 5.515 5.515 3.820
angles: 90.00 90.00 90.00
Element x y z (fractional)
Hf (0.000, 0.000, 0.000)
Te (0.000, 0.500, 0.000)
Te (0.500, 0.000, 0.000)
Pt (0.500, 0.500, 0.500)
N (0.000, 0.000, 0.500)

* energy: -30.9 eV for the cell shown
* size of the total moment: 0.00 Bohr magnetons per cell
* E_form (uncorrected): 0.431 eV per atom



Below is a relaxed structure of RbHfSeN2, with properties calculated at the PBEsol level.

abc: 4.102 4.102 5.551
angles: 90.00 90.00 90.00
Element x y z (fractional)
Rb (0.000, 0.000, 0.000)
Hf (0.500, 0.500, 0.500)
Se (0.000, 0.000, 0.500)
N (0.000, 0.500, 0.000)
N (0.500, 0.000, 0.000)

* energy: -22.0 eV for the cell shown
* size of the total moment: 0.00 Bohr magnetons per cell
* E_form (uncorrected): 2.085 eV per atom



Below is a relaxed structure of RbHfSiN2, with properties calculated at the PBEsol level.

abc: 3.836 3.836 4.819
angles: 90.00 90.00 90.00
Element x y z (fractional)
Rb (0.000, 0.000, 0.000)
Hf (0.500, 0.500, 0.000)
Si (0.000, 0.000, 0.500)
N (0.000, 0.500, 0.500)
N (0.500, 0.000, 0.500)

* energy: -25.4 eV for the cell shown
* size of the total moment: 0.00 Bohr magnetons per cell
* E_form (uncorrected): 1.777 eV per atom



Below is a relaxed structure of HfReTe2N, with properties calculated at the PBEsol level.

abc: 5.352 5.352 3.695
angles: 90.00 90.00 90.00
Element x y z (fractional)
Hf (0.000, 0.000, 0.000)
Re (0.500, 0.500, 0.500)
Te (0.000, 0.500, 0.500)
Te (0.500, 0.000, 0.500)
N (0.500, 0.500, 0.000)

* energy: -37.9 eV for the cell shown
* size of the total moment: 0.00 Bohr magnetons per cell
* E_form (uncorrected): 0.311 eV per atom



Below is a relaxed structure of Hf3RhN, with properties calculated at the PBEsol level.

abc: 4.855 4.855 4.855
angles: 90.00 90.00 90.00
Element x y z (fractional)
Hf (0.000, 0.000, 0.500)
Hf (0.000, 0.500, 0.000)
Hf (0.500, 0.000, 0.000)
Rh (0.000, 0.000, 0.000)
N (0.500, 0.500, 0.500)

* energy: -42.2 eV for the cell shown
* size of the total moment: 0.00 Bohr magnetons per cell
* E_form (uncorrected): 1.200 eV per atom



Below is a relaxed structure of HfS3N, with properties calculated at the PBEsol level.

abc: 4.096 4.096 4.096
angles: 90.00 90.00 90.00
Element x y z (fractional)
Hf (0.000, 0.000, 0.000)
S (0.000, 0.500, 0.500)
S (0.500, 0.000, 0.500)
S (0.500, 0.500, 0.000)
N (0.500, 0.500, 0.500)

* energy: -31.4 eV for the cell shown
* size of the total moment: 0.00 Bohr magnetons per cell
* E_form (uncorrected): 0.155 eV per atom



Below is a relaxed structure of HfSbSN2, with properties calculated at the PBEsol level.

abc: 3.991 3.991 4.800
angles: 90.00 90.00 90.00
Element x y z (fractional)
Hf (0.000, 0.000, 0.000)
Sb (0.500, 0.500, 0.500)
S (0.500, 0.500, 0.000)
N (0.000, 0.500, 0.500)
N (0.500, 0.000, 0.500)

* energy: -33.1 eV for the cell shown
* size of the total moment: 0.00 Bohr magnetons per cell
* E_form (uncorrected): 0.681 eV per atom



Below is a relaxed structure of HfSbS2N, with properties calculated at the PBEsol level.

abc: 4.917 4.917 3.865
angles: 90.00 90.00 90.00
Element x y z (fractional)
Hf (0.000, 0.000, 0.000)
Sb (0.500, 0.500, 0.500)
S (0.000, 0.500, 0.500)
S (0.500, 0.000, 0.500)
N (0.500, 0.500, 0.000)

* energy: -29.6 eV for the cell shown
* size of the total moment: 0.01 Bohr magnetons per cell
* E_form (uncorrected): 0.559 eV per atom



Below is a relaxed structure of HfSe2SN, with properties calculated at the PBEsol level.

abc: 5.167 5.167 3.955
angles: 90.00 90.00 90.00
Element x y z (fractional)
Hf (0.000, 0.000, 0.000)
Se (0.000, 0.500, 0.000)
Se (0.500, 0.000, 0.000)
S (0.500, 0.500, 0.500)
N (0.000, 0.000, 0.500)

* energy: -29.7 eV for the cell shown
* size of the total moment: 0.69 Bohr magnetons per cell
* E_form (uncorrected): 0.291 eV per atom



Below is a relaxed structure of HfSnS2N, with properties calculated at the PBEsol level.

abc: 4.911 4.911 3.845
angles: 90.00 90.00 90.00
Element x y z (fractional)
Hf (0.000, 0.000, 0.000)
Sn (0.500, 0.500, 0.500)
S (0.000, 0.500, 0.500)
S (0.500, 0.000, 0.500)
N (0.500, 0.500, 0.000)

* energy: -29.8 eV for the cell shown
* size of the total moment: 0.00 Bohr magnetons per cell
* E_form (uncorrected): 0.457 eV per atom



Below is a relaxed structure of HfTcSN2, with properties calculated at the PBEsol level.

abc: 3.786 3.786 4.691
angles: 90.00 90.00 90.00
Element x y z (fractional)
Hf (0.000, 0.000, 0.000)
Tc (0.500, 0.500, 0.500)
S (0.500, 0.500, 0.000)
N (0.000, 0.500, 0.500)
N (0.500, 0.000, 0.500)

* energy: -43.1 eV for the cell shown
* size of the total moment: 0.00 Bohr magnetons per cell
* E_form (uncorrected): 0.021 eV per atom



Below is a relaxed structure of HfWS2N, with properties calculated at the PBEsol level.

abc: 4.908 4.908 3.848
angles: 90.00 90.00 90.00
Element x y z (fractional)
Hf (0.000, 0.000, 0.000)
W (0.500, 0.500, 0.500)
S (0.000, 0.500, 0.000)
S (0.500, 0.000, 0.000)
N (0.000, 0.000, 0.500)

* energy: -38.4 eV for the cell shown
* size of the total moment: 3.29 Bohr magnetons per cell
* E_form (uncorrected): 0.643 eV per atom



Below is a relaxed structure of YHfSN2, with properties calculated at the PBEsol level.

abc: 4.099 4.099 4.919
angles: 90.00 90.00 90.00
Element x y z (fractional)
Y (0.000, 0.000, 0.000)
Hf (0.500, 0.500, 0.500)
S (0.500, 0.500, 0.000)
N (0.000, 0.500, 0.500)
N (0.500, 0.000, 0.500)

* energy: -43.6 eV for the cell shown
* size of the total moment: 0.10 Bohr magnetons per cell
* E_form (uncorrected): -0.970 eV per atom



Below is a relaxed structure of Hf3ScN, with properties calculated at the PBEsol level.

abc: 4.464 4.464 4.464
angles: 90.00 90.00 90.00
Element x y z (fractional)
Hf (0.000, 0.000, 0.500)
Hf (0.000, 0.500, 0.000)
Hf (0.500, 0.000, 0.000)
Sc (0.500, 0.500, 0.500)
N (0.000, 0.000, 0.000)

* energy: -50.5 eV for the cell shown
* size of the total moment: 0.00 Bohr magnetons per cell
* E_form (uncorrected): -0.776 eV per atom



Below is a relaxed structure of HfSnSeN2, with properties calculated at the PBEsol level.

abc: 4.126 4.126 5.400
angles: 90.00 90.00 90.00
Element x y z (fractional)
Hf (0.000, 0.000, 0.000)
Sn (0.500, 0.500, 0.500)
Se (0.000, 0.000, 0.500)
N (0.000, 0.500, 0.000)
N (0.500, 0.000, 0.000)

* energy: -35.7 eV for the cell shown
* size of the total moment: 0.27 Bohr magnetons per cell
* E_form (uncorrected): -0.013 eV per atom



Below is a relaxed structure of SrHfSe2N, with properties calculated at the PBEsol level.

abc: 5.249 5.249 4.096
angles: 90.00 90.00 90.00
Element x y z (fractional)
Sr (0.000, 0.000, 0.000)
Hf (0.500, 0.500, 0.500)
Se (0.000, 0.500, 0.500)
Se (0.500, 0.000, 0.500)
N (0.500, 0.500, 0.000)

* energy: -34.4 eV for the cell shown
* size of the total moment: 0.98 Bohr magnetons per cell
* E_form (uncorrected): -1.156 eV per atom



Below is a relaxed structure of SrHfSe2N, with properties calculated at the PBEsol level.

abc: 5.436 5.436 4.162
angles: 90.00 90.00 90.00
Element x y z (fractional)
Sr (0.000, 0.000, 0.000)
Hf (0.500, 0.500, 0.500)
Se (0.000, 0.500, 0.000)
Se (0.500, 0.000, 0.000)
N (0.000, 0.000, 0.500)

* energy: -24.4 eV for the cell shown
* size of the total moment: 0.19 Bohr magnetons per cell
* E_form (uncorrected): 0.842 eV per atom



Below is a relaxed structure of YHfSeN2, with properties calculated at the PBEsol level.

abc: 4.165 4.165 5.278
angles: 90.00 90.00 90.00
Element x y z (fractional)
Y (0.000, 0.000, 0.000)
Hf (0.500, 0.500, 0.500)
Se (0.000, 0.000, 0.500)
N (0.000, 0.500, 0.000)
N (0.500, 0.000, 0.000)

* energy: -36.2 eV for the cell shown
* size of the total moment: 0.10 Bohr magnetons per cell
* E_form (uncorrected): 0.412 eV per atom



Below is a relaxed structure of SrHfN3, with properties calculated at the PBEsol level.

abc: 4.211 4.211 4.211
angles: 90.00 90.00 90.00
Element x y z (fractional)
Sr (0.000, 0.000, 0.000)
Hf (0.500, 0.500, 0.500)
N (0.000, 0.500, 0.500)
N (0.500, 0.000, 0.500)
N (0.500, 0.500, 0.000)

* energy: -40.7 eV for the cell shown
* size of the total moment: 2.50 Bohr magnetons per cell
* E_form (uncorrected): -0.547 eV per atom



Below is a relaxed structure of SrHfN3, with properties calculated at the PBEsol level.

abc: 4.152 4.152 4.152
angles: 90.00 90.00 90.00
Element x y z (fractional)
Sr (0.000, 0.000, 0.000)
Hf (0.500, 0.500, 0.500)
N (0.000, 0.000, 0.500)
N (0.000, 0.500, 0.000)
N (0.500, 0.000, 0.000)

* energy: -30.0 eV for the cell shown
* size of the total moment: 0.00 Bohr magnetons per cell
* E_form (uncorrected): 1.575 eV per atom



Below is a relaxed structure of Sr5Hf2N6, with properties calculated at the PBEsol level.

abc: 6.539 6.539 13.644
angles: 101.90 101.90 64.85
Element x y z (fractional)
Sr (0.161, 0.839, 0.750)
Sr (0.190, 0.499, 0.275)
Sr (0.221, 0.732, 0.991)
Sr (0.268, 0.779, 0.509)
Sr (0.499, 0.190, 0.775)
Sr (0.501, 0.810, 0.225)
Sr (0.732, 0.221, 0.491)
Sr (0.779, 0.268, 0.009)
Sr (0.810, 0.501, 0.725)
Sr (0.839, 0.161, 0.250)
Hf (0.193, 0.355, 0.565)
Hf (0.355, 0.193, 0.065)
Hf (0.645, 0.807, 0.935)
Hf (0.807, 0.645, 0.435)
N (0.077, 0.341, 0.411)
N (0.141, 0.146, 0.141)
N (0.146, 0.141, 0.641)
N (0.341, 0.077, 0.911)
N (0.437, 0.465, 0.122)
N (0.465, 0.437, 0.622)
N (0.535, 0.563, 0.378)
N (0.563, 0.535, 0.878)
N (0.659, 0.923, 0.089)
N (0.854, 0.859, 0.359)
N (0.859, 0.854, 0.859)
N (0.923, 0.659, 0.589)

* energy: -191.6 eV for the cell shown
* size of the total moment: 0.00 Bohr magnetons per cell
* E_form (uncorrected): -1.110 eV per atom



Below is a relaxed structure of SrHfTiN2, with properties calculated at the PBEsol level.

abc: 4.244 4.244 5.723
angles: 90.00 90.00 90.00
Element x y z (fractional)
Sr (0.000, 0.000, 0.000)
Hf (0.000, 0.000, 0.500)
Ti (0.500, 0.500, 0.000)
N (0.000, 0.500, 0.500)
N (0.500, 0.000, 0.500)

* energy: -32.3 eV for the cell shown
* size of the total moment: 2.65 Bohr magnetons per cell
* E_form (uncorrected): 1.083 eV per atom



Below is a relaxed structure of HfTa2TeN, with properties calculated at the PBEsol level.

abc: 4.109 4.109 5.172
angles: 90.00 90.00 90.00
Element x y z (fractional)
Hf (0.000, 0.000, 0.000)
Ta (0.000, 0.500, 0.500)
Ta (0.500, 0.000, 0.500)
Te (0.500, 0.500, 0.000)
N (0.500, 0.500, 0.500)

* energy: -48.7 eV for the cell shown
* size of the total moment: 0.00 Bohr magnetons per cell
* E_form (uncorrected): -0.212 eV per atom